Compound: Tl3Te4Se2
Source: Alexandria
Functional: PBE-GGA
Structure: relaxed

Computed properties:
Density ... 7.12 g cm⁻³
SG ... C2/m, No. 12
Spin magnetization ... 0.00 μB/atom
Energy relative to the elements, uncorrected ... -96 meV per atom

```
Tl3Te4Se2
1.0
4.3697 0.0000 -0.9408
-0.7729 7.5859 -3.5895
-0.1962 -1.2978 9.7063
Se Te Tl
2 4 3
direct
0.3246 0.8983 0.6493
0.6754 0.1017 0.3507
0.7877 0.6463 0.5753
0.5695 0.4831 0.1389
0.2123 0.3537 0.4247
0.4305 0.5169 0.8611
0.0000 0.0000 0.0000
0.8570 0.1967 0.7141
0.1430 0.8033 0.2859
```